Entry 1:
Compound: KTcN2
Source: the Alexandria database
Functional: meta-GGA SCAN
Structure: PBEsol geometry

Summary:
As for the calculated volume: 276.3 Å³/cell. The calculation puts the raw formation energy at -0.33 eV per atom. As for the energy relative to the lowest polymorph listed for this composition: 0.0 kJ/mol of atoms. For the total magnetization, the calculation gives 0.0 μB per formula unit. For the final energy, the calculation gives -15.826 eV/atom.

a = 5.633 Å, b = 5.633 Å, c = 8.706 Å
α = 90.00°, β = 90.00°, γ = 90.00°
Space group I-42d (No. 122)
Symmetry-distinct sites (fractional):
K: 0.000 0.000 0.000 [4 per cell]
Tc: 0.000 0.000 0.500 [4 per cell]
N: 0.089 0.250 0.625 [8 per cell]

Entry 2:
Compound: Ba2CuTc
Source: the Alexandria database
Functional: meta-GGA SCAN
Structure: PBEsol geometry

Summary:
As for the calculated volume: 109.3 Å³/cell. The value obtained for the energy relative to the elements is 0.625 eV per atom. For the total magnetization, the calculation gives 0.0 μB per formula unit. For the final energy, the calculation gives -31.715 eV/atom.

a = 3.501 Å, b = 3.501 Å, c = 8.921 Å
α = 90.00°, β = 90.00°, γ = 90.00°
Space group P4mm (No. 99)
Symmetry-distinct sites (fractional):
Ba: 0.000 0.000 0.000 [1 per cell]
Ba: 0.500 0.500 0.429 [1 per cell]
Cu: 0.500 0.500 0.762 [1 per cell]
Tc: 0.000 0.000 0.684 [1 per cell]

Entry 3:
Compound: TcPt2Br
Source: the Alexandria database
Functional: meta-GGA SCAN
Structure: PBEsol geometry

Summary:
As for the calculated volume: 69.7 Å³/cell. The calculation puts the raw formation energy at 0.28 eV per atom. As for the energy relative to the lowest polymorph listed for this composition: 0.0 kJ/mol of atoms. For the total magnetization, the calculation gives 0.0 μB per formula unit. For the final energy, the calculation gives -48.451 eV/atom.

a = 2.908 Å, b = 3.528 Å, c = 6.791 Å
α = 90.00°, β = 90.00°, γ = 90.00°
Space group Pmm2 (No. 25)
Symmetry-distinct sites (fractional):
Tc: 0.000 0.000 0.000 [1 per cell]
Pt: 0.000 0.000 0.392 [1 per cell]
Pt: 0.500 0.500 0.177 [1 per cell]
Br: 0.000 0.500 0.716 [1 per cell]

Entry 4:
Compound: MgMoRu2
Source: the Alexandria database
Functional: meta-GGA SCAN
Structure: PBEsol geometry

Summary:
As for the calculated volume: 59.9 Å³/cell. The value obtained for the energy relative to the elements is 0.175 eV per atom. For the total magnetization, the calculation gives 0.0 μB per formula unit. For the final energy, the calculation gives -27.203 eV/atom.

a = 2.701 Å, b = 2.701 Å, c = 8.214 Å
α = 90.00°, β = 90.00°, γ = 90.00°
Space group P4mm (No. 99)
Symmetry-distinct sites (fractional):
Mg: 0.000 0.000 0.000 [1 per cell]
Mo: 0.500 0.500 0.283 [1 per cell]
Ru: 0.000 0.000 0.540 [1 per cell]
Ru: 0.500 0.500 0.746 [1 per cell]

Entry 5:
Compound: CrRhAu
Source: the Alexandria database
Functional: meta-GGA SCAN
Structure: PBEsol geometry

Summary:
As for the calculated volume: 83.9 Å³/cell. The value obtained for the energy relative to the elements is -0.039 eV per atom. As for the energy relative to the lowest polymorph listed for this composition: 1.3 kJ/mol of atoms. For the total magnetization, the calculation gives 2.3 μB per formula unit. For the final energy, the calculation gives -40.476 eV/atom.

a = 2.755 Å, b = 3.620 Å, c = 8.417 Å
α = 90.00°, β = 90.00°, γ = 90.00°
Space group Imm2 (No. 44)
Symmetry-distinct sites (fractional):
Cr: 0.000 0.000 0.000 [2 per cell]
Rh: 0.000 0.000 0.638 [2 per cell]
Au: 0.000 0.000 0.322 [2 per cell]

Entry 6:
Compound: Li3ZnFe
Source: the Alexandria database
Functional: meta-GGA SCAN
Structure: PBEsol geometry

Summary:
As for the calculated volume: 99.4 Å³/cell. The value obtained for the energy relative to the elements is 0.720 eV per atom. For the total magnetization, the calculation gives 2.8 μB per formula unit. For the final energy, the calculation gives -7.043 eV/atom.

a = 4.632 Å, b = 4.632 Å, c = 4.632 Å
α = 90.00°, β = 90.00°, γ = 90.00°
Space group Pm-3m (No. 221)
Symmetry-distinct sites (fractional):
Li: 0.000 0.000 0.500 [3 per cell]
Zn: 0.500 0.500 0.500 [1 per cell]
Fe: 0.000 0.000 0.000 [1 per cell]

- calculated volume of number 6 (Li3ZnFe)?
  99.4 Å³/cell

- Which of these has the lowest calculated volume?
  MgMoRu2

What did the fifth record say?
Compound: CrRhAu
Source: the Alexandria database
Functional: meta-GGA SCAN
Structure: PBEsol geometry

Summary:
As for the calculated volume: 83.9 Å³/cell. The value obtained for the energy relative to the elements is -0.039 eV per atom. As for the energy relative to the lowest polymorph listed for this composition: 1.3 kJ/mol of atoms. For the total magnetization, the calculation gives 2.3 μB per formula unit. For the final energy, the calculation gives -40.476 eV/atom.

a = 2.755 Å, b = 3.620 Å, c = 8.417 Å
α = 90.00°, β = 90.00°, γ = 90.00°
Space group Imm2 (No. 44)
Symmetry-distinct sites (fractional):
Cr: 0.000 0.000 0.000 [2 per cell]
Rh: 0.000 0.000 0.638 [2 per cell]
Au: 0.000 0.000 0.322 [2 per cell]